Below is a geometry-optimized Pm2DyHo2 structure, with properties calculated at the PBE-GGA level.

Cell lengths 4.5728, 4.5728, 16.4187 Å; angles 90.00, 90.00, 90.00 degrees
Fractional coordinates of all 10 atoms:
Pm  0.0000  0.5000  0.2500
Pm  0.0000  0.5000  0.7500
Pm  0.5000  0.0000  0.2500
Pm  0.5000  0.0000  0.7500
Dy  0.0000  0.0000  0.0000
Dy  0.5000  0.5000  0.5000
Ho  0.0000  0.0000  0.4070
Ho  0.0000  0.0000  0.5930
Ho  0.5000  0.5000  0.0930
Ho  0.5000  0.5000  0.9070

Calculated values
formation enthalpy at 0 K = 0.37 eV/atom
energy relative to the lowest polymorph listed for this composition = 0.352 eV per atom
spin magnetization = 0.00 μB/f.u.
energy = -21.4 eV/f.u.